# 1
Computed, not measured: a relaxed CePm6O12 crystal at the PBE level of DFT.

Summary:
Magnetic moment = 0.11 μB/atom
Raw total energy = -154.645 eV per cell

abc: 6.805 6.805 6.805
angles: 99.44 99.44 99.44
Each line ends with the local moment (μB).
Element x y z (fractional)
Pm  0.138  0.297  0.608  -0.01
Pm  0.297  0.608  0.138  -0.01
Pm  0.392  0.862  0.703  -0.01
Pm  0.608  0.138  0.297  -0.01
Pm  0.703  0.392  0.862  -0.01
Pm  0.862  0.703  0.392  -0.01
O  0.316  0.937  0.064  0.07
O  0.581  0.439  0.178  0.23
O  0.822  0.419  0.561  0.23
O  0.684  0.063  0.936  0.07
O  0.419  0.561  0.822  0.23
O  0.178  0.581  0.439  0.23
O  0.063  0.936  0.684  0.07
O  0.064  0.316  0.937  0.07
O  0.936  0.684  0.063  0.07
O  0.439  0.178  0.581  0.23
O  0.937  0.064  0.316  0.07
O  0.561  0.822  0.419  0.23
Ce  0.000  0.000  0.000  0.03

***

# 2
Computed, not measured: a relaxed ZnInTe2 crystal at the PBE level of DFT.

Summary:
Magnetic moment = 0.00 μB/atom
Raw total energy = -11.258 eV per cell

abc: 4.383 4.383 8.000
angles: 90.21 90.21 60.01
Element x y z (fractional)
In  0.626  0.626  0.773
Zn  0.624  0.624  0.435
Te  0.290  0.290  0.344
Te  0.960  0.960  0.947

***

# 3
Computed, not measured: a relaxed BeNi6Ge crystal at the PBE level of DFT.

Summary:
Magnetic moment = 0.19 μB/atom
Formation energy from the elements = -0.21 eV/atom

abc: 3.520 3.520 6.967
angles: 90.00 90.00 90.00
Each line ends with the local moment (μB).
Element x y z (fractional)
Ni  0.000  0.500  0.739  0.27
Ni  0.500  0.500  0.000  0.15
Ni  0.000  0.500  0.261  0.27
Ni  0.500  0.000  0.739  0.27
Ni  0.500  0.500  0.500  0.40
Ni  0.500  0.000  0.261  0.27
Be  0.000  0.000  0.500  -0.01
Ge  0.000  0.000  0.000  -0.02

***

Which of these has the highest magnetic moment? BeNi6Ge

***

Please write out number 3 again, unchanged.
Computed, not measured: a relaxed BeNi6Ge crystal at the PBE level of DFT.

Summary:
Magnetic moment = 0.19 μB/atom
Formation energy from the elements = -0.21 eV/atom

abc: 3.520 3.520 6.967
angles: 90.00 90.00 90.00
Each line ends with the local moment (μB).
Element x y z (fractional)
Ni  0.000  0.500  0.739  0.27
Ni  0.500  0.500  0.000  0.15
Ni  0.000  0.500  0.261  0.27
Ni  0.500  0.000  0.739  0.27
Ni  0.500  0.500  0.500  0.40
Ni  0.500  0.000  0.261  0.27
Be  0.000  0.000  0.500  -0.01
Ge  0.000  0.000  0.000  -0.02